Material: La4Pr2Pb3Cl2
Method: DFT, GGA-PBE
State: optimized geometry

Results
- DOS(E_F) (states/eV/cell) = 24.6
- total DFT energy (no corrections) (eV/atom) = -4.77

Structure (CIF):
```
data_La4Pr2Pb3Cl2
_space_group_name_H-M_alt 'I 4/m m m'
_space_group_IT_number 139
_space_group_name_Hall '-I 4 2'
_cell_length_a 5.4641
_cell_length_b 5.4641
_cell_length_c 25.1228
_cell_angle_alpha 90.00
_cell_angle_beta 90.00
_cell_angle_gamma 90.00
loop_
_atom_site_label
_atom_site_type_symbol
_atom_site_fract_x
_atom_site_fract_y
_atom_site_fract_z
_atom_site_occupancy
La1 La 0.0000 0.5000 0.0864 1
Pr1 Pr 0.0000 0.0000 0.1991 1
Pb1 Pb 0.0000 0.0000 0.3274 1
Pb2 Pb 0.0000 0.0000 0.5000 1
Cl1 Cl 0.0000 0.0000 0.0764 1
```